First-principles (PBE-GGA) data for crystalline NdCu8Ag3 at its relaxed geometry, as listed in Alexandria.

crystal system	trigonal
SG	R3m
size of the total moment	0.0000	μB per atom
calculated formation energy	-0.040	eV/atom

Cell: 8.750 8.750 8.750 Å, 33.44 33.44 33.44°
Element x y z (fractional)
Nd: 0.000 0.000 0.000
Cu: 0.186 0.186 0.186
Cu: 0.434 0.434 0.931
Cu: 0.434 0.931 0.434
Cu: 0.442 0.938 0.938
Cu: 0.688 0.688 0.688
Cu: 0.931 0.434 0.434
Cu: 0.938 0.442 0.938
Cu: 0.938 0.938 0.442
Ag: 0.383 0.383 0.383
Ag: 0.500 0.500 0.500
Ag: 0.872 0.872 0.872

***

First-principles (PBE-GGA) data for crystalline Ba8Ag2Pb at its relaxed geometry, as listed in Alexandria.

crystal system	monoclinic
SG	Cm
size of the total moment	0.0000	μB per atom
calculated formation energy	-0.151	eV/atom

Cell: 9.397 9.397 6.876 Å, 99.00 99.00 111.24°
Element x y z (fractional)
Ba: 0.000 0.000 0.000
Ba: 0.033 0.296 0.582
Ba: 0.131 0.587 0.185
Ba: 0.296 0.033 0.582
Ba: 0.432 0.693 0.770
Ba: 0.587 0.131 0.185
Ba: 0.693 0.432 0.770
Ba: 0.728 0.728 0.382
Ag: 0.050 0.678 0.686
Ag: 0.678 0.050 0.686
Pb: 0.366 0.366 0.325

***

First-principles (PBE-GGA) data for crystalline ScAlRh2 at its relaxed geometry, as listed in Alexandria.

crystal system	orthorhombic
SG	Pmm2
size of the total moment	0.0000	μB per atom
calculated formation energy	-0.797	eV/atom

Cell: 2.982 3.976 5.313 Å, 90.00 90.00 90.00°
Element x y z (fractional)
Sc: 0.000 0.000 0.000
Al: 0.500 0.500 0.320
Rh: 0.000 0.000 0.484
Rh: 0.500 0.500 0.808

***

First-principles (PBE-GGA) data for crystalline OsSN2O at its relaxed geometry, as listed in Alexandria.

crystal system	tetragonal
SG	P4/mmm
size of the total moment	0.0000	μB per atom
E_form (uncorrected)	1.120	eV/atom

Cell: 3.690 3.690 5.109 Å, 90.00 90.00 90.00°
Element x y z (fractional)
Os: 0.000 0.000 0.000
S: 0.000 0.000 0.500
N: 0.000 0.500 0.000
N: 0.500 0.000 0.000
O: 0.500 0.500 0.500

***

| no. | calculated density (Mg/m³) | calculated total energy (eV per atom) |
| --- | --- | --- |
| 1 | 8.95 | -3.881 |
| 2 | 4.65 | -2.405 |
| 3 | 7.32 | -6.991 |
| 4 | 6.36 | -6.273 |